This record from OQMD describes an optimized crystal structure of NdDy2Mg3CdGa2. The functional is PBE.

Lattice parameters (Å, degrees): 4.514 7.442 7.442 120.68 90.00 90.00
Sites, in units of the cell vectors:
1 Dy 0.000 0.571 0.002
2 Dy 0.000 0.002 0.571
3 Mg 0.500 0.248 0.000
4 Mg 0.500 0.751 0.751
5 Mg 0.500 0.000 0.248
6 Cd 0.000 0.993 0.993
7 Ga 0.500 0.672 0.333
8 Ga 0.500 0.333 0.672
9 Nd 0.000 0.430 0.430

Values from the calculation:
Total moment, μB/f.u.: 0.00
Calculated density, g cm⁻³: 6.1
Space-group type: Amm2 (38)
E, eV/atom: -3.277